1.
La2YCd2 PBE-GGA relaxed; energy relative to the lowest polymorph listed for this composition = 6.1 kJ per mole of atoms
1.0
9.023 0.000 0.000
0.000 9.023 0.000
0.000 0.000 3.881
La Y Cd
4 2 4
Cartesian
1.561 2.950 0.000
2.950 7.462 0.000
6.073 1.561 0.000
7.462 6.073 0.000
0.000 0.000 1.940
4.512 4.512 1.940
1.117 5.628 1.940
3.395 1.117 1.940
5.628 7.906 1.940
7.906 3.395 1.940



2.
First-principles (PBE-GGA) data for LaY2Cd after structural relaxation, as listed in the Alexandria database.

POSCAR file:
```
LaY2Cd
1.0
4.946 0.000 0.000
0.000 4.946 0.000
0.000 0.000 4.959
La Y Cd
1 2 1
Cartesian
0.000 0.000 0.000
0.000 2.473 2.480
2.473 0.000 2.480
2.473 2.473 0.000
```



3.
First-principles (PBE-GGA) data for LaY2Cd after structural relaxation, as listed in the Alexandria database.

POSCAR file:
```
LaY2Cd
1.0
0.000 3.942 3.942
3.942 0.000 3.942
3.942 3.942 0.000
La Y Cd
1 2 1
Cartesian
0.000 0.000 0.000
3.942 3.942 3.942
5.913 5.913 5.913
1.971 1.971 1.971
```



4.
First-principles (PBE-GGA) data for LaY2Cd after structural relaxation, as listed in the Alexandria database.

POSCAR file:
```
LaY2Cd
1.0
-2.445 2.445 5.013
2.445 -2.445 5.013
2.445 2.445 -5.013
La Y Cd
1 2 1
Cartesian
0.000 0.000 0.000
2.445 0.000 2.507
0.000 0.000 5.013
0.000 2.445 2.507
```



5.
LaYCd3 PBE-GGA relaxed; energy relative to the lowest polymorph listed for this composition = 68.7 kJ per mole of atoms
1.0
5.583 0.000 0.000
0.000 5.583 0.000
0.000 0.000 5.583
La Y Cd
1 1 3
Cartesian
0.000 0.000 0.000
2.792 2.792 2.792
0.000 2.792 2.792
2.792 0.000 2.792
2.792 2.792 0.000



6.
First-principles (PBE-GGA) data for LaY2Cd after structural relaxation, as listed in the Alexandria database.

POSCAR file:
```
LaY2Cd
1.0
3.664 0.000 0.000
0.000 4.779 0.000
0.000 0.000 6.995
La Y Cd
1 2 1
Cartesian
0.000 0.000 0.000
0.000 0.000 3.662
1.832 2.390 1.948
1.832 2.390 5.277
```



7.
La2Y2Cd PBE-GGA relaxed; energy relative to the lowest polymorph listed for this composition = 0.0 kJ per mole of atoms
1.0
-1.849 1.849 11.674
1.849 -1.849 11.674
1.849 1.849 -11.674
La Y Cd
2 2 1
Cartesian
0.000 0.000 4.509
0.000 0.000 18.839
0.000 0.000 9.738
0.000 0.000 13.610
0.000 0.000 0.000



8.
La2Y2Cd PBE-GGA relaxed; energy relative to the lowest polymorph listed for this composition = 15.6 kJ per mole of atoms
1.0
8.070 0.000 0.000
0.000 8.070 0.000
0.000 0.000 5.221
La Y Cd
4 4 2
Cartesian
1.238 2.797 0.000
2.797 6.832 0.000
5.273 1.238 0.000
6.832 5.273 0.000
1.206 5.241 2.610
2.829 1.206 2.610
5.241 6.864 2.610
6.864 2.829 2.610
0.000 0.000 2.610
4.035 4.035 2.610



9.
First-principles (PBE-GGA) data for La6YCd after structural relaxation, as listed in the Alexandria database.

POSCAR file:
```
La6YCd
1.0
5.103 0.000 0.000
2.541 5.803 0.000
2.542 1.274 9.220
La Y Cd
6 1 1
Cartesian
1.274 1.706 2.301
3.812 1.856 7.979
3.818 4.007 3.529
6.367 3.070 5.691
6.373 5.222 1.241
8.912 5.372 6.919
3.822 2.902 0.000
3.822 0.637 4.610
```



10.
La2YCd2 PBE-GGA relaxed; energy relative to the lowest polymorph listed for this composition = 23.7 kJ per mole of atoms
1.0
-2.318 2.318 7.347
2.318 -2.318 7.347
2.318 2.318 -7.347
La Y Cd
2 1 2
Cartesian
2.318 0.000 3.674
0.000 2.318 3.674
0.000 0.000 0.000
0.000 0.000 5.998
0.000 0.000 8.697



11.
La2Y8Cd PBE-GGA relaxed; energy relative to the lowest polymorph listed for this composition = 0.0 kJ per mole of atoms
1.0
9.839 -2.822 0.000
9.839 2.822 0.000
-0.595 0.000 6.456
La Y Cd
2 8 1
Cartesian
4.613 0.000 2.167
14.469 0.000 4.289
0.691 0.000 1.700
2.500 0.000 5.220
6.214 0.000 5.643
8.092 0.000 2.568
10.990 0.000 3.889
12.869 0.000 0.813
16.582 0.000 1.236
18.391 0.000 4.757
9.839 0.000 0.000



12.
La2Y8Cd PBE-GGA relaxed; energy relative to the lowest polymorph listed for this composition = 11.5 kJ per mole of atoms
1.0
9.317 -3.429 0.000
9.317 3.429 0.000
-0.210 0.000 5.838
La Y Cd
2 8 1
Cartesian
4.076 0.000 1.501
14.348 0.000 4.337
0.900 0.000 1.358
7.033 1.777 1.503
6.050 0.000 4.485
11.391 1.777 4.334
7.033 -1.777 1.503
12.374 0.000 1.353
11.391 -1.777 4.334
17.524 0.000 4.480
9.317 0.000 0.000



| no. | E_form (eV/atom) | energy (eV per atom) |
| --- | --- | --- |
| 1 | -0.19 | -3.821 |
| 2 | -0.09 | -4.783 |
| 3 | -0.03 | -4.721 |
| 4 | -0.09 | -4.782 |
| 5 | 0.37 | -2.453 |
| 6 | -0.10 | -4.789 |
| 7 | -0.12 | -4.864 |
| 8 | 0.04 | -4.702 |
| 9 | -0.05 | -4.667 |
| 10 | -0.01 | -3.639 |
| 11 | -0.01 | -5.689 |
| 12 | 0.11 | -5.570 |